1.
VASP calculation (PBE) on a relaxed NdErMg2Cd4 crystal.

```
data_NdErMg2Cd4
_symmetry_space_group_name_H-M 'R -3 m'
_symmetry_Int_Tables_number 166
_symmetry_space_group_name_Hall '-R 3 2"'
_cell_length_a 5.1193
_cell_length_b 5.1193
_cell_length_c 25.2344
_cell_angle_alpha 90.00
_cell_angle_beta 90.00
_cell_angle_gamma 120.00
loop_
_atom_site_label
_atom_site_type_symbol
_atom_site_fract_x
_atom_site_fract_y
_atom_site_fract_z
Nd1 Nd 0.0000 0.0000 0.0000
Er1 Er 0.0000 0.0000 0.5000
Mg1 Mg 0.0000 0.0000 0.2496
Cd1 Cd 0.0000 0.0000 0.1274
Cd2 Cd 0.0000 0.0000 0.3780
```

Energy of formation in eV per atom: -0.313
DOS(E_F) in states/eV per cell: 8.7
E in eV per formula unit: -18.69

2.
VASP calculation (PBE) on a relaxed LiInHRh2 crystal.

```
data_LiInHRh2
_symmetry_space_group_name_H-M 'P 4/m m m'
_symmetry_Int_Tables_number 123
_symmetry_space_group_name_Hall '-P 4 2'
_cell_length_a 4.020
_cell_length_b 4.020
_cell_length_c 3.858
_cell_angle_alpha 90.00
_cell_angle_beta 90.00
_cell_angle_gamma 90.00
loop_
_atom_site_label
_atom_site_type_symbol
_atom_site_fract_x
_atom_site_fract_y
_atom_site_fract_z
Li1 Li 0.000 0.000 0.000
In1 In 0.500 0.500 0.000
H1 H 0.000 0.000 0.500
Rh1 Rh 0.000 0.500 0.500
```

DOS(E_F) in states/eV per cell: 2.9
E in eV per formula unit: -24.53

3.
VASP calculation (PBE) on a relaxed LaZrCd2 crystal.

```
data_LaZrCd2
_symmetry_space_group_name_H-M 'R -3 m'
_symmetry_Int_Tables_number 166
_symmetry_space_group_name_Hall '-R 3 2"'
_cell_length_a 3.2742
_cell_length_b 3.2742
_cell_length_c 32.9773
_cell_angle_alpha 90.00
_cell_angle_beta 90.00
_cell_angle_gamma 120.00
loop_
_atom_site_label
_atom_site_type_symbol
_atom_site_fract_x
_atom_site_fract_y
_atom_site_fract_z
La1 La 0.0000 0.0000 0.0000
Zr1 Zr 0.0000 0.0000 0.5000
Cd1 Cd 0.0000 0.0000 0.2443
```

Energy of formation in eV per atom: 0.019
DOS(E_F) in states/eV per cell: 16.4
E in eV per formula unit: -15.23
Energy relative to the lowest polymorph listed for this composition in meV/atom: 187

4.
VASP calculation (PBE) on a relaxed SrMnTe2 crystal.

```
data_SrMnTe2
_symmetry_space_group_name_H-M 'I m m m'
_symmetry_Int_Tables_number 71
_symmetry_space_group_name_Hall '-I 2 2'
_cell_length_a 4.386
_cell_length_b 6.657
_cell_length_c 8.546
_cell_angle_alpha 90.00
_cell_angle_beta 90.00
_cell_angle_gamma 90.00
loop_
_atom_site_label
_atom_site_type_symbol
_atom_site_fract_x
_atom_site_fract_y
_atom_site_fract_z
Sr1 Sr 0.000 0.000 0.000
Mn1 Mn 0.000 0.000 0.500
Te1 Te 0.000 0.500 0.207
```

DOS(E_F) in states/eV per cell: 2.8
E in eV per formula unit: -19.61
Raw formation energy in eV/atom: -0.62
Energy relative to the lowest polymorph listed for this composition in meV/atom: 210

Question: E of number 2 (LiInHRh2)?
Answer: -24.53 eV per formula unit

Question: Look up the E of the fourth one.
Answer: -19.61 eV per formula unit